No. 1
IrBr | PBE-GGA | relaxed Values from VASP.

The structure in Quantum ESPRESSO input format:
```
&SYSTEM
  ibrav = 0, nat = 4, ntyp = 2
/
ATOMIC_SPECIES
Ir 192.22 Ir.upf
Br 79.90 Br.upf
CELL_PARAMETERS angstrom
2.9914 0.0000 0.0000
-1.4957 2.5906 0.0000
0.0000 0.0000 9.4332
ATOMIC_POSITIONS crystal
Ir 0.3333 0.6667 0.0000
Ir 0.6667 0.3333 0.5000
Br 0.3333 0.6667 0.7473
Br 0.6667 0.3333 0.2473
```

Results
ΔE_f (raw), eV per formula unit: 2.082
Energy above the most stable polymorph in this dataset, meV/atom: 774
Total energy, eV per atom: -4.226
Mass density, g/cm3: 12.36
Volume, Å³ per atom: 18.3

=====

No. 2
SmTmZnFe | PBE-GGA | relaxed Values from VASP.

The structure in Quantum ESPRESSO input format:
```
&SYSTEM
  ibrav = 0, nat = 4, ntyp = 4
/
ATOMIC_SPECIES
Sm 150.36 Sm.upf
Tm 168.93 Tm.upf
Zn 65.41 Zn.upf
Fe 55.84 Fe.upf
CELL_PARAMETERS angstrom
0.0000 3.4824 3.4824
3.4824 0.0000 3.4824
3.4824 3.4824 0.0000
ATOMIC_POSITIONS crystal
Sm 0.0000 0.0000 0.0000
Tm 0.5000 0.5000 0.5000
Zn 0.7500 0.7500 0.7500
Fe 0.2500 0.2500 0.2500
```

Results
Total energy, eV per atom: -4.788
Energy of formation from the pure elements, meV per atom: -57
Mass density, g/cm3: 8.66
Volume, Å³ per atom: 21.1

=====

No. 3
ZrGaNiAg | PBE-GGA | relaxed Values from VASP.

The structure in Quantum ESPRESSO input format:
```
&SYSTEM
  ibrav = 0, nat = 4, ntyp = 4
/
ATOMIC_SPECIES
Zr 91.22 Zr.upf
Ga 69.72 Ga.upf
Ni 58.69 Ni.upf
Ag 107.87 Ag.upf
CELL_PARAMETERS angstrom
0.0000 3.2019 3.2019
3.2019 0.0000 3.2019
3.2019 3.2019 0.0000
ATOMIC_POSITIONS crystal
Zr 0.0000 0.0000 0.0000
Ga 0.5000 0.5000 0.5000
Ni 0.2500 0.2500 0.2500
Ag 0.7500 0.7500 0.7500
```

Results
Total energy, eV per atom: -5.312
Energy of formation from the pure elements, meV per atom: -260
Mass density, g/cm3: 8.28
Volume, Å³ per atom: 16.4

=====

No. 4
PaPIrRh | PBE-GGA | relaxed Values from VASP.

The structure in Quantum ESPRESSO input format:
```
&SYSTEM
  ibrav = 0, nat = 8, ntyp = 4
/
ATOMIC_SPECIES
Pa 231.04 Pa.upf
P 30.97 P.upf
Ir 192.22 Ir.upf
Rh 102.91 Rh.upf
CELL_PARAMETERS angstrom
3.8421 0.0000 0.0000
0.0000 3.8421 0.0000
0.0000 0.0000 9.4822
ATOMIC_POSITIONS crystal
Pa 0.2500 0.2500 0.2170
Pa 0.7500 0.7500 0.7830
P 0.2500 0.2500 0.6486
P 0.7500 0.7500 0.3514
Ir 0.2500 0.2500 0.9022
Ir 0.7500 0.7500 0.0978
Rh 0.2500 0.7500 0.5000
Rh 0.7500 0.2500 0.5000
```

Results
Total energy, eV per atom: -8.672
Energy of formation from the pure elements, meV per atom: -892
Mass density, g/cm3: 13.22
Volume, Å³ per atom: 17.5

=====

No. 5
NiRuSe2 | PBE-GGA | relaxed Values from VASP.

The structure in Quantum ESPRESSO input format:
```
&SYSTEM
  ibrav = 0, nat = 4, ntyp = 3
/
ATOMIC_SPECIES
Ni 58.69 Ni.upf
Ru 101.07 Ru.upf
Se 78.96 Se.upf
CELL_PARAMETERS angstrom
-1.7680 1.9161 6.1270
1.7680 -1.9161 6.1270
1.7680 1.9161 -6.1270
ATOMIC_POSITIONS crystal
Ni 0.0000 0.0000 0.0000
Ru 0.5000 0.5000 0.0000
Se 0.1310 0.6310 0.5000
Se 0.8690 0.3690 0.5000
```

Results
ΔE_f (raw), eV per formula unit: -0.250
Energy above the most stable polymorph in this dataset, meV/atom: 130
Total energy, eV per atom: -5.569
Mass density, g/cm3: 6.35
Volume, Å³ per atom: 20.8

=====

No. 6
Ac5In2Co | PBE-GGA | relaxed Values from VASP.

The structure in Quantum ESPRESSO input format:
```
&SYSTEM
  ibrav = 0, nat = 16, ntyp = 3
/
ATOMIC_SPECIES
Ac 227.00 Ac.upf
In 114.82 In.upf
Co 58.93 Co.upf
CELL_PARAMETERS angstrom
8.9007 0.0000 0.0000
0.0000 12.8718 0.0000
0.0000 0.0000 4.9943
ATOMIC_POSITIONS crystal
Ac 0.0000 0.0000 0.0000
Ac 0.1332 0.3042 0.0000
Ac 0.1805 0.5683 0.5000
Ac 0.3195 0.0683 0.5000
Ac 0.3668 0.8042 0.0000
Ac 0.5000 0.5000 0.0000
Ac 0.6332 0.1958 0.0000
Ac 0.6805 0.9317 0.5000
Ac 0.8195 0.4317 0.5000
Ac 0.8668 0.6958 0.0000
In 0.0765 0.8312 0.5000
In 0.4235 0.3312 0.5000
In 0.5765 0.6688 0.5000
In 0.9235 0.1688 0.5000
Co 0.0000 0.5000 0.0000
Co 0.5000 0.0000 0.0000
```

Results
Total energy, eV per atom: -4.368
Energy of formation from the pure elements, meV per atom: -227
Mass density, g/cm3: 8.26
Volume, Å³ per atom: 35.8